Entry 1:
The following is a PBE calculation of a relaxed structure of CaPrDy4, from Alexandria via LeMat-Bulk.

Cell: 6.6926 6.6926 6.6926 Å, 60.00 60.00 60.00°
Last column: nearest neighbours and their distance in Å.
Positions (direct):
Ca 0.0000 0.0000 0.0000  12 Dy 3.93, 4 Pr 4.10
Pr 0.2500 0.2500 0.2500  12 Dy 3.92, 4 Ca 4.10
Dy 0.1285 0.6238 0.6238  6 Dy 3.32-3.38
Dy 0.6238 0.1285 0.6238  6 Dy 3.32-3.38
Dy 0.6238 0.6238 0.1285  6 Dy 3.32-3.38
Dy 0.6238 0.6238 0.6238  6 Dy 3.32-3.38

Symmetry: F-43m
Excess energy over the best structure of this formula in the dataset (eV/atom): 0.142



Entry 2:
The following is a PBE calculation of a relaxed structure of NiGe2PtAu, from Alexandria via LeMat-Bulk.

Cell: 4.6984 4.6984 5.2181 Å, 90.00 90.00 90.00°
Last column: nearest neighbours and their distance in Å.
Positions (direct):
Ni 0.0000 0.0000 0.0000  4 Au 3.32, 8 Ge 3.51
Ge 0.0000 0.5000 0.5000  2 Pt 2.35
Ge 0.5000 0.0000 0.5000  2 Pt 2.35
Pt 0.5000 0.5000 0.5000  4 Ge 2.35, 2 Au 2.61
Au 0.5000 0.5000 0.0000  2 Pt 2.61

Symmetry: P4/mmm
Raw total energy (eV per formula unit): -20.861



Entry 3:
The following is a PBE calculation of a relaxed structure of TiGaCu, from Alexandria via LeMat-Bulk.

Cell: 3.7280 3.7280 6.5899 Å, 90.00 90.00 90.00°
Last column: nearest neighbours and their distance in Å.
Positions (direct):
Ti 0.2500 0.2500 0.1455  5 Cu 2.54-2.71
Ti 0.7500 0.7500 0.8545  5 Cu 2.54-2.71
Ga 0.2500 0.7500 0.5000  4 Cu 2.53, 4 Ga 2.64
Ga 0.7500 0.2500 0.5000  4 Cu 2.53, 4 Ga 2.64
Cu 0.2500 0.2500 0.7604  4 Ga 2.53, 5 Ti 2.54-2.71
Cu 0.7500 0.7500 0.2396  4 Ga 2.53, 5 Ti 2.54-2.71

Symmetry: P4/nmm
Raw total energy (eV per formula unit): -15.345



Entry 4:
The following is a PBE calculation of a relaxed structure of CePrNi4, from Alexandria via LeMat-Bulk.

Cell: 5.1449 5.1449 5.1449 Å, 60.00 60.00 60.00°
Last column: nearest neighbours and their distance in Å.
Positions (direct):
Ce 0.0000 0.0000 0.0000  12 Ni 3.01, 4 Pr 3.15
Pr 0.2500 0.2500 0.2500  12 Ni 3.02, 4 Ce 3.15
Ni 0.1226 0.6258 0.6258  6 Ni 2.56-2.59
Ni 0.6258 0.1226 0.6258  6 Ni 2.56-2.59
Ni 0.6258 0.6258 0.1226  6 Ni 2.56-2.59
Ni 0.6258 0.6258 0.6258  6 Ni 2.56-2.59

Symmetry: F-43m
Raw total energy (eV per formula unit): -35.704



Entry 5:
The following is a PBE calculation of a relaxed structure of LaPmDyTh, from Alexandria via LeMat-Bulk.

Cell: 8.1514 8.1514 8.1514 Å, 90.00 90.00 90.00°
Last column: nearest neighbours and their distance in Å.
Positions (direct):
La 0.0000 0.0000 0.0000  4 Pm 3.53, 4 Dy 3.53
La 0.0000 0.5000 0.5000  4 Pm 3.53, 4 Dy 3.53
La 0.5000 0.0000 0.5000  4 Pm 3.53, 4 Dy 3.53
La 0.5000 0.5000 0.0000  4 Pm 3.53, 4 Dy 3.53
Pm 0.2500 0.2500 0.2500  4 La 3.53, 4 Th 3.53
Pm 0.2500 0.7500 0.7500  4 La 3.53, 4 Th 3.53
Pm 0.7500 0.2500 0.7500  4 La 3.53, 4 Th 3.53
Pm 0.7500 0.7500 0.2500  4 La 3.53, 4 Th 3.53
Dy 0.2500 0.2500 0.7500  4 La 3.53, 4 Th 3.53
Dy 0.2500 0.7500 0.2500  4 La 3.53, 4 Th 3.53
Dy 0.7500 0.2500 0.2500  4 La 3.53, 4 Th 3.53
Dy 0.7500 0.7500 0.7500  4 Th 3.53, 4 La 3.53
Th 0.0000 0.0000 0.5000  4 Dy 3.53, 4 Pm 3.53
Th 0.0000 0.5000 0.0000  4 Dy 3.53, 4 Pm 3.53
Th 0.5000 0.0000 0.0000  4 Dy 3.53, 4 Pm 3.53
Th 0.5000 0.5000 0.5000  4 Dy 3.53, 4 Pm 3.53

Symmetry: F-43m
Excess energy over the best structure of this formula in the dataset (eV/atom): 0.125



Entry 6:
The following is a PBE calculation of a relaxed structure of GaTePb3, from Alexandria via LeMat-Bulk.

Cell: 6.0252 6.0252 6.0252 Å, 90.00 90.00 90.00°
Last column: nearest neighbours and their distance in Å.
Positions (direct):
Ga 0.0000 0.0000 0.0000  12 Pb 4.26
Te 0.5000 0.5000 0.5000  6 Pb 3.01
Pb 0.0000 0.5000 0.5000  2 Te 3.01
Pb 0.5000 0.0000 0.5000  2 Te 3.01
Pb 0.5000 0.5000 0.0000  2 Te 3.01

Symmetry: Pm-3m
Excess energy over the best structure of this formula in the dataset (eV/atom): 0.313
E_form (uncorrected) (eV/atom): 0.550



Which formula does entry 1 have?
CaPrDy4



Please write out number 3 again, unchanged.
The following is a PBE calculation of a relaxed structure of TiGaCu, from Alexandria via LeMat-Bulk.

Cell: 3.7280 3.7280 6.5899 Å, 90.00 90.00 90.00°
Last column: nearest neighbours and their distance in Å.
Positions (direct):
Ti 0.2500 0.2500 0.1455  5 Cu 2.54-2.71
Ti 0.7500 0.7500 0.8545  5 Cu 2.54-2.71
Ga 0.2500 0.7500 0.5000  4 Cu 2.53, 4 Ga 2.64
Ga 0.7500 0.2500 0.5000  4 Cu 2.53, 4 Ga 2.64
Cu 0.2500 0.2500 0.7604  4 Ga 2.53, 5 Ti 2.54-2.71
Cu 0.7500 0.7500 0.2396  4 Ga 2.53, 5 Ti 2.54-2.71

Symmetry: P4/nmm
Raw total energy (eV per formula unit): -15.345